No. 1
A plane-wave DFT calculation with GGA-PBE was carried out for a relaxed structure of BeSbH.

```
BeSbH
1.0
4.308 0.000 0.000
0.000 5.703 0.000
0.000 0.000 4.169
Be Sb H
2 2 2
Direct
0.000 0.128 0.000
0.000 0.872 0.500
0.500 0.332 0.070
0.500 0.668 0.570
0.000 0.098 0.654
0.000 0.902 0.154
```

Summary:
V, Å³/cell: 102.4
Total energy, eV/f.u.: -11.12

***

No. 2
A plane-wave DFT calculation with GGA-PBE was carried out for a relaxed structure of Er6BiPd.

```
Er6BiPd
1.0
6.848 0.000 0.000
-3.406 5.957 0.000
-3.398 -1.984 6.420
Er Bi Pd
6 1 1
Direct
0.038 0.074 0.263
0.299 0.725 0.263
0.308 0.534 0.737
0.692 0.466 0.263
0.701 0.275 0.737
0.962 0.926 0.737
0.500 0.000 0.000
0.500 0.500 0.500
```

Summary:
Formation energy from the elements, eV per formula unit: -1.17
V, Å³/cell: 261.9
Total energy, eV/f.u.: -37.62

***

No. 3
A plane-wave DFT calculation with GGA-PBE was carried out for a relaxed structure of MnSn3Pt.

```
MnSn3Pt
1.0
4.887 0.000 0.000
0.000 4.887 0.000
0.000 0.000 4.887
Mn Sn Pt
1 3 1
Direct
0.000 0.000 0.000
0.000 0.000 0.500
0.000 0.500 0.000
0.500 0.000 0.000
0.500 0.500 0.500
```

Summary:
Formation energy from the elements, eV per formula unit: 1.86
V, Å³/cell: 116.7
Total energy, eV/f.u.: -25.36

***

No. 4
A plane-wave DFT calculation with GGA-PBE was carried out for a relaxed structure of Ac6TlSi2Br3.

```
Ac6TlSi2Br3
1.0
10.110 -2.306 0.000
10.110 2.306 0.000
-1.870 0.000 9.144
Ac Tl Si Br
6 1 2 3
Direct
0.011 0.011 0.255
0.325 0.325 0.431
0.334 0.334 0.887
0.666 0.666 0.113
0.675 0.675 0.569
0.989 0.989 0.745
0.500 0.500 0.000
0.168 0.168 0.339
0.832 0.832 0.661
0.167 0.167 0.835
0.500 0.500 0.500
0.833 0.833 0.165
```

Summary:
V, Å³/cell: 426.3
Total energy, eV/f.u.: -54.28

***

No. 5
A plane-wave DFT calculation with GGA-PBE was carried out for a relaxed structure of EuLu2Tc.

```
EuLu2Tc
1.0
3.439 0.000 0.000
0.000 3.439 0.000
0.000 0.000 9.103
Eu Lu Tc
1 2 1
Direct
0.000 0.000 0.000
0.500 0.500 0.326
0.500 0.500 0.674
0.000 0.000 0.500
```

Summary:
Formation energy from the elements, eV per formula unit: -0.21
V, Å³/cell: 107.7
Total energy, eV/f.u.: -29.89

***

No. 6
A plane-wave DFT calculation with GGA-PBE was carried out for a relaxed structure of Li2CaAlGe2.

```
Li2CaAlGe2
1.0
4.237 0.000 0.000
0.000 7.805 0.000
0.000 0.000 7.205
Li Ca Al Ge
4 2 2 4
Direct
0.000 0.071 0.000
0.000 0.929 0.500
0.500 0.180 0.319
0.500 0.820 0.819
0.500 0.422 0.953
0.500 0.578 0.453
0.000 0.307 0.608
0.000 0.693 0.108
0.000 0.371 0.244
0.000 0.629 0.744
0.500 0.125 0.682
0.500 0.875 0.182
```

Summary:
Formation energy from the elements, eV per formula unit: -2.45
V, Å³/cell: 238.2
Total energy, eV/f.u.: -21.25